HfTeWN2 (PBE, optimized geometry); energy relative to the lowest polymorph listed for this composition = 583.6 meV/atom; formation energy without anion corrections = 1.070 eV per atom; space group = P4/mmm (123)
1.0
4.117 0.000 0.000
0.000 4.117 0.000
0.000 0.000 5.919
Hf Te W N
1 1 1 2
Direct
0.000 0.000 0.000
0.000 0.000 0.500
0.500 0.500 0.500
0.000 0.500 0.000
0.500 0.000 0.000